The following is a PBE calculation of a relaxed Ca2YFe crystal, from Alexandria via LeMat-Bulk.

Lattice parameters (Å, degrees): 6.047 6.047 3.515 90.00 90.00 113.62
Sites, in units of the cell vectors:
Y: 0.000 0.500 0.500
Ca: 0.500 0.500 0.000
Fe: 0.500 0.000 0.500
Ca: 0.000 0.000 0.000

Output
- total energy (Ha/atom) = -0.1530
- spin magnetization (μB per atom) = 0.498
- E above lowest polymorph (kJ/mol of formula units) = 142
- E_form (eV/atom) = 0.570
- calculated density (Mg/m³) = 3.17